Entry 1:
An optimized crystal structure of LaGdCo2. Source: the Alexandria database, functional PBE.

The structure in extended XYZ format:
```
16
Lattice="6.870 0.000 0.000 0.000 6.870 0.000 0.000 0.000 6.870" Properties=species:S:1:pos:R:3 pbc="T T T"
La 0.000 0.000 0.000
La 0.000 3.435 3.435
La 3.435 0.000 3.435
La 3.435 3.435 0.000
Gd 0.000 0.000 3.435
Gd 0.000 3.435 0.000
Gd 3.435 0.000 0.000
Gd 3.435 3.435 3.435
Co 1.718 1.718 1.718
Co 1.718 1.718 5.153
Co 1.718 5.153 1.718
Co 1.718 5.153 5.153
Co 5.153 1.718 1.718
Co 5.153 1.718 5.153
Co 5.153 5.153 1.718
Co 5.153 5.153 5.153
```

The calculation puts the magnetization at 30.62 μB per cell. As for the space group: Fm-3m (225). The value obtained for the final energy is -8.310 eV per atom.

---

Entry 2:
An optimized crystal structure of GaCuW. Source: the Alexandria database, functional PBE.

The structure in extended XYZ format:
```
6
Lattice="2.807 0.000 0.000 -1.404 2.431 0.000 0.000 0.000 13.235" Properties=species:S:1:pos:R:3 pbc="T T T"
Ga 0.000 1.621 3.596
Ga 1.404 0.810 9.639
Cu 0.000 1.621 7.611
Cu 1.404 0.810 5.624
W 0.000 0.000 1.284
W 0.000 0.000 11.950
```

The calculation puts the magnetization at 0.00 μB per cell. As for the space group: P-3m1 (164). The value obtained for the final energy is -6.415 eV per atom.

---

Entry 3:
An optimized crystal structure of Ce2PmEr3P6. Source: the Alexandria database, functional PBE.

The structure in extended XYZ format:
```
12
Lattice="3.496 -6.054 0.000 3.496 6.054 0.000 -2.330 0.000 6.570" Properties=species:S:1:pos:R:3 pbc="T T T"
Ce 3.496 4.034 0.000
Ce 3.496 -4.034 0.000
Pm 3.496 0.000 0.000
Er -1.165 0.000 3.285
Er 2.331 2.009 3.285
Er 2.331 -2.009 3.285
P -0.013 2.040 4.886
P 1.140 0.000 1.690
P -0.013 -2.040 4.886
P 4.674 2.040 1.683
P 3.521 0.000 4.880
P 4.674 -2.040 1.683
```

The calculation puts the magnetization at 0.85 μB per cell. As for the space group: C2/m (12). The value obtained for the final energy is -6.799 eV per atom.

---

Repeat the third record exactly.
An optimized crystal structure of Ce2PmEr3P6. Source: the Alexandria database, functional PBE.

The structure in extended XYZ format:
```
12
Lattice="3.496 -6.054 0.000 3.496 6.054 0.000 -2.330 0.000 6.570" Properties=species:S:1:pos:R:3 pbc="T T T"
Ce 3.496 4.034 0.000
Ce 3.496 -4.034 0.000
Pm 3.496 0.000 0.000
Er -1.165 0.000 3.285
Er 2.331 2.009 3.285
Er 2.331 -2.009 3.285
P -0.013 2.040 4.886
P 1.140 0.000 1.690
P -0.013 -2.040 4.886
P 4.674 2.040 1.683
P 3.521 0.000 4.880
P 4.674 -2.040 1.683
```

The calculation puts the magnetization at 0.85 μB per cell. As for the space group: C2/m (12). The value obtained for the final energy is -6.799 eV per atom.

---

Repeat the third record exactly.
An optimized crystal structure of Ce2PmEr3P6. Source: the Alexandria database, functional PBE.

The structure in extended XYZ format:
```
12
Lattice="3.496 -6.054 0.000 3.496 6.054 0.000 -2.330 0.000 6.570" Properties=species:S:1:pos:R:3 pbc="T T T"
Ce 3.496 4.034 0.000
Ce 3.496 -4.034 0.000
Pm 3.496 0.000 0.000
Er -1.165 0.000 3.285
Er 2.331 2.009 3.285
Er 2.331 -2.009 3.285
P -0.013 2.040 4.886
P 1.140 0.000 1.690
P -0.013 -2.040 4.886
P 4.674 2.040 1.683
P 3.521 0.000 4.880
P 4.674 -2.040 1.683
```

The calculation puts the magnetization at 0.85 μB per cell. As for the space group: C2/m (12). The value obtained for the final energy is -6.799 eV per atom.

---

> Which value of final energy does entry 3 give?

-6.799 eV per atom